Record 1
Compound: Rb2ZrIr
Source: Alexandria
Functional: PBE-GGA
Structure: relaxed

Calculated values
- crystal system = tetragonal

The structure in POSCAR format:
```
Rb2ZrIr
1.0
13.047 0.000 0.000
0.000 13.047 0.000
6.524 6.524 2.431
Ir Rb Zr
2 4 2
Cartesian
0.000 0.000 0.000
13.047 6.524 1.215
11.801 3.262 0.608
14.293 9.785 0.608
9.785 7.770 1.823
16.309 5.277 1.823
6.524 6.524 0.000
6.524 13.047 1.215
```



Record 2
Compound: ReIr
Source: Alexandria
Functional: PBE-GGA
Structure: relaxed

Calculated values
- crystal system = tetragonal

The structure in POSCAR format:
```
ReIr
1.0
4.725 -0.001 -0.003
1.480 4.487 0.003
-3.100 -2.246 2.769
Ir Re
2 2
Cartesian
3.473 3.364 0.693
-0.368 -1.124 2.076
0.371 1.121 0.693
2.734 1.119 2.076
```



Total energy per entry: -16.19, -21.55 eV per formula unit